No. 1
SrTe2Br SCAN single point on PBEsol structure; offset from the most stable computed form = 0.00 eV/f.u.; formation energy without anion corrections = -1.312 eV per atom
1.0
-3.8499 0.5404 1.8812
1.5814 -1.5880 3.6925
1.8491 6.4306 1.9370
Sr Te Br
1 2 1
Direct
0.5000 0.1235 0.7165
0.0000 0.1269 0.0948
0.5000 0.6269 0.0948
0.0000 0.6228 0.5939


No. 2
ZnCuNi2 SCAN single point on PBEsol structure; formation energy = -0.05 eV/atom
1.0
-1.9616 1.5716 0.3826
-2.3445 -3.2838 1.4683
2.7443 0.5618 3.3150
Ni Zn Cu
2 1 1
Direct
0.0024 0.0008 0.0049
0.7475 0.2469 0.4950
0.4978 0.4956 0.9955
0.2523 0.7567 0.5046


No. 3
CsCaPbCl2 SCAN single point on PBEsol structure; formation energy without anion corrections = -0.469 eV per atom
1.0
-5.7593 0.3077 1.4833
1.4082 -1.0628 5.6879
0.5955 6.2378 1.0182
Pb Cs Ca Cl
1 1 1 2
Direct
0.0000 0.0000 0.5000
0.0000 0.0000 0.0000
0.5000 0.5000 0.5000
0.0000 0.5000 0.0000
0.5000 0.0000 0.0000


No. 4
Li10ZnP4S16 SCAN single point on PBEsol structure; formation energy without anion corrections = -1.012 eV per atom
1.0
7.8111 0.0000 0.0000
0.0000 12.2066 -0.0117
0.0000 -0.0050 12.7531
Li Zn P S
20 2 8 32
Direct
0.7566 0.4990 0.8394
0.7443 0.0015 0.8483
0.7517 0.4987 0.3515
0.7525 0.9957 0.3402
0.7520 0.2577 0.6521
0.7415 0.7439 0.6551
0.7222 0.7525 0.1541
0.2778 0.2525 0.6541
0.2585 0.2439 0.1551
0.2480 0.7577 0.1521
0.2475 0.4957 0.8402
0.2483 0.9987 0.8515
0.2557 0.5015 0.3483
0.2434 0.9990 0.3394
0.0055 0.2432 0.9198
0.9891 0.7460 0.9265
0.0109 0.2460 0.4265
0.9945 0.7432 0.4198
0.5115 0.9899 0.5796
0.4885 0.4899 0.0796
0.7420 0.2474 0.1543
0.2580 0.7474 0.6543
0.0097 0.4965 0.5927
0.0021 0.9965 0.5916
0.9979 0.4965 0.0916
0.9903 0.9965 0.0927
0.5095 0.2525 0.9101
0.4978 0.7517 0.9073
0.5022 0.2517 0.4073
0.4905 0.7525 0.4101
0.9997 0.4440 0.9399
0.9932 0.9472 0.9386
0.0068 0.4472 0.4386
0.0003 0.9440 0.4399
0.0135 0.1637 0.6029
0.0055 0.6704 0.5957
0.9945 0.1704 0.0957
0.9865 0.6637 0.1029
0.7861 0.4522 0.6586
0.7908 0.9396 0.6682
0.7757 0.4393 0.1657
0.7704 0.9476 0.1597
0.7234 0.1981 0.8333
0.7133 0.6931 0.8352
0.7232 0.1937 0.3308
0.7073 0.6949 0.3378
0.5049 0.4199 0.9067
0.4970 0.9155 0.9139
0.5030 0.4155 0.4139
0.4951 0.9199 0.4067
0.5173 0.1858 0.5550
0.4926 0.6878 0.5597
0.5074 0.1878 0.0597
0.4827 0.6858 0.0550
0.2927 0.1949 0.8378
0.2768 0.6937 0.8308
0.2867 0.1931 0.3352
0.2766 0.6981 0.3333
0.2296 0.4476 0.6597
0.2243 0.9393 0.6657
0.2092 0.4396 0.1682
0.2139 0.9522 0.1586


No. 5
KLi2Te SCAN single point on PBEsol structure; formation energy without anion corrections = -0.640 eV per atom
1.0
-1.5165 4.1551 -1.3194
-3.6724 -0.2673 3.3792
4.2677 2.5761 3.2077
K Te Li
1 1 2
Direct
0.5000 0.5000 0.0000
0.5000 0.0000 0.5000
0.0000 0.0750 0.2848
0.0000 0.9250 0.7152


No. 6
Hf2Ni2Ir SCAN single point on PBEsol structure; formation energy = -0.73 eV/atom
1.0
-2.4963 -0.8714 1.8027
3.6447 -5.1371 2.5638
2.1958 4.0531 4.9997
Ni Ir Hf
4 2 4
Direct
0.0000 0.3785 0.8785
0.0000 0.8785 0.6215
0.0000 0.6215 0.1215
0.0000 0.1215 0.3785
0.0000 0.0000 0.0000
0.0000 0.5000 0.5000
0.5000 0.1808 0.6808
0.5000 0.6808 0.8192
0.5000 0.8192 0.3192
0.5000 0.3192 0.1808


No. 7
CoPt5 SCAN single point on PBEsol structure; formation energy = -0.05 eV/atom
1.0
2.7218 0.0000 0.0000
0.0000 2.7218 0.0000
0.0000 0.0000 11.5651
Co Pt
1 5
Direct
0.5000 0.5000 0.5000
0.0000 0.0000 0.6509
0.5000 0.5000 0.8268
0.0000 0.0000 0.0000
0.5000 0.5000 0.1732
0.0000 0.0000 0.3491


No. 8
CdIr4Ru SCAN single point on PBEsol structure; formation energy = 0.50 eV/atom
1.0
-0.5906 2.8218 -4.2394
-2.6767 -1.8531 -3.9605
-4.5890 1.9796 -1.1430
Cd Ir Ru
1 4 1
Direct
0.0000 0.0000 0.0000
0.3751 0.3751 0.3751
0.3751 0.3751 0.8748
0.8748 0.3751 0.3751
0.3751 0.8748 0.3751
0.7500 0.7500 0.7500


No. 9
Tc3HgPt SCAN single point on PBEsol structure; formation energy = 1.82 eV/atom
1.0
4.6897 0.0000 0.0000
0.0000 4.6897 0.0000
0.0000 0.0000 4.6897
Hg Pt Tc
1 1 3
Direct
0.5000 0.5000 0.5000
0.0000 0.0000 0.0000
0.0000 0.5000 0.0000
0.0000 0.0000 0.5000
0.5000 0.0000 0.0000


No. 10
NaFe3Pt SCAN single point on PBEsol structure; offset from the most stable computed form = 0.00 eV/f.u.; formation energy = 0.68 eV/atom
1.0
4.7111 0.0000 0.0000
0.0000 4.7111 0.0000
0.0000 0.0000 4.7111
Na Fe Pt
1 3 1
Direct
0.5000 0.5000 0.5000
0.0000 0.5000 0.0000
0.0000 0.0000 0.5000
0.5000 0.0000 0.0000
0.0000 0.0000 0.0000


No. 11
GaPBr2 SCAN single point on PBEsol structure; formation energy without anion corrections = 0.548 eV per atom
1.0
-1.8041 1.6449 2.2197
0.8852 -0.0091 3.1786
4.9369 8.2367 0.3612
P Ga Br
1 1 2
Direct
0.5000 0.5000 0.5000
0.0000 0.0000 0.0000
0.9056 0.9056 0.2833
0.0944 0.0944 0.7167


No. 12
TlOs2Br SCAN single point on PBEsol structure; formation energy without anion corrections = 1.145 eV per atom
1.0
2.9375 0.0000 0.0000
1.4687 5.2166 -0.0366
1.4687 2.1237 4.9685
Tl Os Br
1 2 1
Direct
0.4680 0.5623 0.5018
0.0273 0.0684 0.8769
0.7035 0.6563 0.9367
0.3012 0.2130 0.1846


No. 13
NaZnF3 SCAN single point on PBEsol structure; formation energy without anion corrections = -2.705 eV per atom
1.0
-4.6076 2.5866 -1.1059
-2.7882 -4.8448 0.2853
-1.1851 1.1282 7.5759
Na Zn F
4 4 12
Direct
0.0166 0.9415 0.7500
0.5166 0.5585 0.2500
0.4834 0.4415 0.7500
0.9834 0.0585 0.2500
0.5000 0.0000 0.5000
0.0000 0.5000 0.5000
0.0000 0.5000 0.0000
0.5000 0.0000 0.0000
0.6965 0.2995 0.4438
0.1965 0.2005 0.5562
0.8035 0.7995 0.0562
0.3035 0.7005 0.9438
0.3035 0.7005 0.5562
0.8035 0.7995 0.4438
0.1965 0.2005 0.9438
0.6965 0.2995 0.0562
0.1074 0.4607 0.2500
0.6074 0.0393 0.7500
0.3926 0.9607 0.2500
0.8926 0.5393 0.7500


No. 14
SiTeMo SCAN single point on PBEsol structure; offset from the most stable computed form = 0.00 eV/f.u.; formation energy without anion corrections = 0.319 eV per atom
1.0
-0.8501 -2.2846 2.2887
1.4642 -2.3819 -1.8338
3.7472 3.0869 2.0306
Mo Te Si
1 1 1
Direct
0.9749 0.9749 0.9498
0.6626 0.6626 0.3251
0.3625 0.3625 0.7251


No. 15
TlAsSe2 SCAN single point on PBEsol structure; formation energy without anion corrections = -0.182 eV per atom
1.0
3.8172 0.0000 0.0000
0.0000 3.8172 0.0000
0.0000 0.0000 7.7466
Tl As Se
1 1 2
Direct
0.0000 0.0000 0.4295
0.5000 0.5000 0.9445
0.0000 0.0000 0.8789
0.5000 0.5000 0.2471


No. 16
ReP3 SCAN single point on PBEsol structure; offset from the most stable computed form = 0.00 eV/f.u.; formation energy = -0.39 eV/atom
1.0
-2.1766 2.0892 -0.7261
-2.2768 -3.4332 -3.0534
-8.5471 -4.8101 11.7817
Re P
4 12
Direct
0.2500 0.3508 0.6502
0.2500 0.1492 0.1502
0.7500 0.6492 0.3498
0.7500 0.8508 0.8498
0.2500 0.1474 0.5133
0.2500 0.3526 0.0133
0.7500 0.8526 0.4867
0.7500 0.6474 0.9867
0.2500 0.1810 0.8818
0.2500 0.3190 0.3818
0.7500 0.8190 0.1182
0.7500 0.6810 0.6182
0.2500 0.5239 0.7925
0.2500 0.9761 0.2925
0.7500 0.4761 0.2075
0.7500 0.0239 0.7075


No. 17
Er4C7 SCAN single point on PBEsol structure; formation energy = -0.44 eV/atom
1.0
3.6143 -0.0032 0.0000
-1.6277 6.0847 0.0000
0.0000 0.0000 13.5597
Er C
8 14
Direct
0.0591 0.6637 0.6614
0.9409 0.3363 0.3386
0.9409 0.8363 0.1614
0.0591 0.1637 0.8386
0.3658 0.7388 0.9448
0.6342 0.2612 0.0552
0.6342 0.7612 0.4448
0.3658 0.2388 0.5552
0.2672 0.5499 0.1029
0.7328 0.4501 0.8971
0.7328 0.9501 0.6029
0.2672 0.0499 0.3971
0.4690 0.9244 0.7854
0.5310 0.0756 0.2146
0.5310 0.5756 0.2854
0.4690 0.4244 0.7146
0.3728 0.5426 0.1969
0.6272 0.4574 0.8031
0.6272 0.9574 0.6969
0.3728 0.0426 0.3031
0.0000 0.5000 0.5000
0.0000 0.0000 0.0000


No. 18
SrIn4Ir SCAN single point on PBEsol structure; formation energy = -0.48 eV/atom
1.0
4.3035 0.0000 0.0000
0.0000 7.5934 0.0000
0.0000 0.0000 8.6119
In Ir Sr
8 2 2
Direct
0.0000 0.0000 0.0000
0.0000 0.0000 0.5000
0.5000 0.9410 0.2500
0.5000 0.0590 0.7500
0.5000 0.3107 0.0656
0.5000 0.3107 0.4344
0.5000 0.6893 0.9344
0.5000 0.6893 0.5656
0.0000 0.1922 0.2500
0.0000 0.8078 0.7500
0.0000 0.6069 0.2500
0.0000 0.3931 0.7500


No. 19
AgPt3 SCAN single point on PBEsol structure; formation energy = 0.05 eV/atom
1.0
2.7604 0.0000 0.0000
0.0000 2.7604 0.0000
0.0000 0.0000 8.0290
Pt Ag
3 1
Direct
0.0000 0.0000 0.5000
0.5000 0.5000 0.2578
0.5000 0.5000 0.7422
0.0000 0.0000 0.0000